Material: ScRu2Br
Method: DFT, PBE
State: optimized geometry

Summary:
space group	P4/mmm, No. 123
E_tot	-6.424	eV per atom
uncorrected formation energy	0.22	eV per atom
total magnetic moment	0.00	μB per atom

Lattice parameters (Å, degrees): 3.2145 3.2145 6.4007 90.00 90.00 90.00
Closest atoms and distances in Å follow each position.
Fractional positions:
Br: 0.5000 0.5000 0.7500  8 Ru 2.79
Ru: 0.0000 0.0000 0.0040  4 Sc 2.76, 4 Br 2.79
Ru: 0.0000 0.0000 0.4960  4 Sc 2.76, 4 Br 2.79
Sc: 0.5000 0.5000 0.2500  8 Ru 2.76